# Nd8MgSc2 (PBE, optimized geometry)
# - ρ: 5.82 g cm⁻³
# - Energy of formation from the pure elements: 0.107 eV/atom
# - Total magnetic moment: 0.00 μB/cell
data_Nd8MgSc2
_cell_length_a 5.530
_cell_length_b 7.700
_cell_length_c 16.986
_cell_angle_alpha 90.00
_cell_angle_beta 90.00
_cell_angle_gamma 90.00
_symmetry_space_group_name_H-M 'I m m m'
_symmetry_Int_Tables_number 71
_symmetry_space_group_name_Hall '-I 2 2'
loop_
_atom_site_label
_atom_site_type_symbol
_atom_site_fract_x
_atom_site_fract_y
_atom_site_fract_z
Nd1 Nd 0.000 0.000 0.177
Nd2 Nd 0.000 0.216 0.362
Nd3 Nd 0.000 0.274 0.000
Mg1 Mg 0.000 0.500 0.500
Sc1 Sc 0.000 0.500 0.193